Below is a geometry-optimized SrSb2AsI structure, with properties calculated at the PBE level.

Values from the calculation:
Density of states at the Fermi level = 3.88 states/eV/f.u.
Magnetization = 0.00 μB per formula unit
Electronic total energy = -3.3236 eV/atom
Energy relative to the elements, uncorrected = -0.098 eV per atom

a = 5.4179 Å, b = 5.4179 Å, c = 5.8771 Å
α = 90.00°, β = 90.00°, γ = 90.00°
Last column: nearest neighbours and their distance in Å.
Fractional coordinates of all 5 atoms:
1 As 0.0000 0.0000 0.0000  4 Sb 2.71, 2 I 2.94
2 Sr 0.5000 0.5000 0.5000  4 I 3.83, 8 Sb 4.00
3 Sb 0.5000 0.0000 0.0000  2 As 2.71
4 I 0.0000 0.0000 0.5000  2 As 2.94
5 Sb 0.0000 0.5000 0.0000  2 As 2.71

Below is a geometry-optimized SmHo2TiN4 structure, with properties calculated at the PBE level.

Values from the calculation:
Density of states at the Fermi level = 2.86 states/eV/f.u.
Magnetization = 0.00 μB per formula unit
Electronic total energy = -8.3667 eV/atom
Energy relative to the elements, uncorrected = -1.483 eV per atom

a = 3.3917 Å, b = 6.0907 Å, c = 11.8488 Å
α = 90.00°, β = 90.00°, γ = 106.17°
Last column: nearest neighbours and their distance in Å.
Fractional coordinates of all 16 atoms:
1 Ho 0.6297 0.2593 0.4612  5 N 2.31-2.52
2 Ti 0.1636 0.3271 0.2500  4 N 1.89-2.05
3 N 0.0000 0.0000 0.0000  4 Ho 2.32
4 N 0.2629 0.5258 0.1243  1 Ti 1.89
5 N 0.0000 0.0000 0.5000  4 Ho 2.32
6 Sm 0.0998 0.1995 0.7500  6 N 2.57-2.77
7 Ho 0.3703 0.7407 0.9612  5 N 2.31-2.52
8 N 0.7371 0.4742 0.6243  1 Ti 1.89
9 N 0.5648 0.1297 0.2500  2 Ti 2.05
10 N 0.4352 0.8703 0.7500  2 Ti 2.05
11 Ho 0.6297 0.2593 0.0388  5 N 2.31-2.52
12 Ho 0.3703 0.7407 0.5388  5 N 2.31-2.52
13 Ti 0.8364 0.6729 0.7500  4 N 1.89-2.05
14 N 0.7371 0.4742 0.8757  1 Ti 1.89
15 N 0.2629 0.5258 0.3757  1 Ti 1.89
16 Sm 0.9002 0.8005 0.2500  6 N 2.57-2.77